[1]
The following is a DFT calculation (PBE) of a relaxed structure of TlRhSe2.

Calculated values
Its magnetization is 0.0 μB per formula unit. Its raw formation energy is -190 meV/atom.

Cell and atoms, written as CIF:
```
data_TlRhSe2
_space_group_name_H-M_alt 'P 1 21/m 1'
_space_group_IT_number 11
_cell_length_a 5.7671
_cell_length_b 5.0775
_cell_length_c 6.3068
_cell_angle_alpha 90.00
_cell_angle_beta 103.33
_cell_angle_gamma 90.00
loop_
_space_group_symop_operation_xyz
'x,y,z'
'-x,-y,-z'
'-x,y+1/2,-z'
'x,-y+1/2,z'
loop_
_atom_site_label
_atom_site_type_symbol
_atom_site_fract_x
_atom_site_fract_y
_atom_site_fract_z
_atom_site_occupancy
Tl1 Tl 0.0897 0.2500 0.1837 1
Rh1 Rh 0.4249 0.7500 0.8607 1
Se1 Se 0.2509 0.7500 0.4495 1
Se2 Se 0.4149 0.2500 0.7542 1
```

---

[2]
The following is a DFT calculation (PBE) of a relaxed structure of Tl2RhSe.

Calculated values
The calculation puts the distance to the lowest polymorph of the same formula at 419 meV/atom. Its magnetization is 0.0 μB per formula unit. Its raw formation energy is 310 meV/atom.

Cell and atoms, written as CIF:
```
data_Tl2RhSe
_space_group_name_H-M_alt 'I 4/m m m'
_space_group_IT_number 139
_space_group_name_Hall '-I 4 2'
_cell_length_a 4.3480
_cell_length_b 4.3480
_cell_length_c 9.4907
_cell_angle_alpha 90.00
_cell_angle_beta 90.00
_cell_angle_gamma 90.00
loop_
_atom_site_label
_atom_site_type_symbol
_atom_site_fract_x
_atom_site_fract_y
_atom_site_fract_z
_atom_site_occupancy
Tl1 Tl 0.0000 0.5000 0.2500 1
Rh1 Rh 0.0000 0.0000 0.0000 1
Se1 Se 0.0000 0.0000 0.5000 1
```

---

[3]
The following is a DFT calculation (PBE) of a relaxed structure of Tl2RhSe.

Calculated values
The calculation puts the distance to the lowest polymorph of the same formula at 340 meV/atom. Its magnetization is 0.0 μB per formula unit. Its raw formation energy is 231 meV/atom.

Cell and atoms, written as CIF:
```
data_Tl2RhSe
_space_group_name_H-M_alt 'C 1 2/m 1'
_space_group_IT_number 12
_cell_length_a 6.3181
_cell_length_b 7.6839
_cell_length_c 3.6031
_cell_angle_alpha 90.00
_cell_angle_beta 90.33
_cell_angle_gamma 90.00
loop_
_space_group_symop_operation_xyz
'x,y,z'
'-x,-y,-z'
'-x,y,-z'
'x,-y,z'
'x+1/2,y+1/2,z'
'-x+1/2,-y+1/2,-z'
'-x+1/2,y+1/2,-z'
'x+1/2,-y+1/2,z'
loop_
_atom_site_label
_atom_site_type_symbol
_atom_site_fract_x
_atom_site_fract_y
_atom_site_fract_z
_atom_site_occupancy
Tl1 Tl 0.2500 0.2500 0.0000 1
Rh1 Rh 0.0000 0.0000 0.5000 1
Se1 Se 0.0000 0.5000 0.5000 1
```